# 1
{"formula": "Dy5Tm3Co2", "functional": "GGA-PBE", "state": "relaxed", "lattice_angstrom": [[-7.3650, -0.5806, 1.7290], [-1.7516, -6.3760, 7.0456], [-2.1451, 3.5824, 8.7136]], "species": ["Dy", "Dy", "Dy", "Dy", "Dy", "Dy", "Dy", "Dy", "Dy", "Dy", "Tm", "Tm", "Tm", "Tm", "Tm", "Tm", "Co", "Co", "Co", "Co"], "frac_coords": [[0.1219, 0.6224, 0.1338], [0.5036, 0.7464, 0.7464], [0.9964, 0.2536, 0.2536], [0.0036, 0.7464, 0.7464], [0.7500, 0.5000, 0.5000], [0.3781, 0.8662, 0.3776], [0.8781, 0.3776, 0.8662], [0.6219, 0.1338, 0.6224], [0.4964, 0.2536, 0.2536], [0.2500, 0.5000, 0.5000], [0.2500, 0.0000, 0.0000], [0.8757, 0.8685, 0.3800], [0.1243, 0.1315, 0.6200], [0.7500, 0.0000, 0.0000], [0.3757, 0.3800, 0.8685], [0.6243, 0.6200, 0.1315], [0.8710, 0.1284, 0.1296], [0.6290, 0.8704, 0.8716], [0.1290, 0.8716, 0.8704], [0.3710, 0.1296, 0.1284]], "m_tot_mub_per_atom": 0.000, "e_form_ev_per_atom": -0.041}

# 2
{"formula": "Dy6TmCo3", "functional": "GGA-PBE", "state": "relaxed", "lattice_angstrom": [[7.1615, 0.0000, 0.0000], [0.0000, 8.3603, -0.5635], [0.0000, -0.0143, 8.3793]], "species": ["Dy", "Dy", "Dy", "Dy", "Dy", "Dy", "Dy", "Dy", "Dy", "Dy", "Dy", "Dy", "Co", "Co", "Co", "Co", "Co", "Co", "Tm", "Tm"], "frac_coords": [[0.5553, 0.7149, 0.7147], [0.2953, 0.9985, 0.4980], [0.0553, 0.7147, 0.7149], [0.5535, 0.3314, 0.6686], [0.0553, 0.2851, 0.2853], [0.2953, 0.5020, 0.0015], [0.3097, 0.9721, 0.0279], [0.8097, 0.0279, 0.9721], [0.0535, 0.6686, 0.3314], [0.7953, 0.4980, 0.9985], [0.5553, 0.2853, 0.2851], [0.7953, 0.0015, 0.5020], [0.3039, 0.5019, 0.4981], [0.8039, 0.4981, 0.5019], [0.5313, 0.0295, 0.7528], [0.0313, 0.9705, 0.2472], [0.5313, 0.2472, 0.9705], [0.0313, 0.7528, 0.0295], [0.5544, 0.6803, 0.3197], [0.0544, 0.3197, 0.6803]], "m_tot_mub_per_atom": 0.000, "e_form_ev_per_atom": -0.054}

# 3
{"formula": "DyTm2Co2", "functional": "GGA-PBE", "state": "relaxed", "lattice_angstrom": [[-3.6919, -3.4394, -2.5738], [2.1063, -1.6908, 5.4709], [-5.4312, 4.3568, 1.9686]], "species": ["Dy", "Dy", "Co", "Co", "Co", "Co", "Tm", "Tm", "Tm", "Tm"], "frac_coords": [[0.0954, 0.0000, 0.7500], [0.9046, 0.0000, 0.2500], [0.3061, 0.3315, 0.5129], [0.6939, 0.6685, 0.4871], [0.0254, 0.3315, 0.0129], [0.9746, 0.6685, 0.9871], [0.7793, 0.3225, 0.6521], [0.4567, 0.6775, 0.8479], [0.2207, 0.6775, 0.3479], [0.5433, 0.3225, 0.1521]], "de_polymorph_ev_per_fu": 0.00, "m_tot_mub_per_atom": 0.000, "e_form_ev_per_atom": -0.197}

# 4
{"formula": "Dy4TmCo2", "functional": "GGA-PBE", "state": "relaxed", "lattice_angstrom": [[6.3080, 0.0000, 0.0000], [0.0000, 7.0941, -2.9293], [0.0000, -0.0531, 7.6480]], "species": ["Dy", "Dy", "Dy", "Dy", "Dy", "Dy", "Dy", "Dy", "Co", "Co", "Co", "Co", "Tm", "Tm"], "frac_coords": [[0.5022, 0.4120, 0.7606], [0.9978, 0.4120, 0.7606], [0.7500, 0.0214, 0.3754], [0.2500, 0.9786, 0.6246], [0.7500, 0.7517, 0.6738], [0.2500, 0.2483, 0.3262], [0.0022, 0.5880, 0.2394], [0.4978, 0.5880, 0.2394], [0.7500, 0.3729, 0.4075], [0.7500, 0.7376, 0.0124], [0.2500, 0.6271, 0.5925], [0.2500, 0.2624, 0.9876], [0.7500, 0.1634, 0.0288], [0.2500, 0.8366, 0.9712]], "m_tot_mub_per_atom": 0.000, "e_form_ev_per_atom": -0.056}

# 5
{"formula": "DyTm4Co2", "functional": "GGA-PBE", "state": "relaxed", "lattice_angstrom": [[-3.6618, -3.0637, 4.0217], [-2.8448, -4.3188, -5.8803], [6.0294, -2.9853, 3.2157]], "species": ["Tm", "Tm", "Tm", "Tm", "Tm", "Tm", "Tm", "Tm", "Co", "Co", "Co", "Co", "Dy", "Dy"], "frac_coords": [[0.7500, 0.7489, 0.6765], [0.9985, 0.4143, 0.7560], [0.2500, 0.9838, 0.6254], [0.7500, 0.0162, 0.3746], [0.5015, 0.4143, 0.7560], [0.2500, 0.2511, 0.3235], [0.4985, 0.5857, 0.2440], [0.0015, 0.5857, 0.2440], [0.7500, 0.3707, 0.4088], [0.2500, 0.2769, 0.9849], [0.2500, 0.6293, 0.5912], [0.7500, 0.7231, 0.0151], [0.7500, 0.1705, 0.0242], [0.2500, 0.8295, 0.9758]], "m_tot_mub_per_atom": 0.000, "e_form_ev_per_atom": -0.093}

# 6
{"formula": "Dy2TmCo", "functional": "GGA-PBE", "state": "relaxed", "lattice_angstrom": [[-0.0356, 0.1159, 3.6765], [-5.1489, -2.9187, -1.7994], [4.4876, -8.1009, 0.2989]], "species": ["Co", "Co", "Tm", "Tm", "Dy", "Dy", "Dy", "Dy"], "frac_coords": [[0.2527, 0.5051, 0.7500], [0.7473, 0.4949, 0.2500], [0.5848, 0.1690, 0.7500], [0.4152, 0.8310, 0.2500], [0.8602, 0.7208, 0.9287], [0.1398, 0.2792, 0.0713], [0.8602, 0.7208, 0.5713], [0.1398, 0.2792, 0.4287]], "de_polymorph_ev_per_fu": 0.10, "m_tot_mub_per_atom": 0.000, "e_form_ev_per_atom": -0.146}

# 7
{"formula": "DyTmCo10", "functional": "GGA-PBE", "state": "relaxed", "lattice_angstrom": [[-2.1235, 0.8029, -3.2292], [-3.6713, -2.7393, 1.7332], [-3.2736, 6.8229, 3.8491]], "species": ["Co", "Co", "Co", "Co", "Co", "Co", "Co", "Co", "Co", "Co", "Tm", "Dy"], "frac_coords": [[0.0000, 0.5000, 0.1695], [0.5000, 0.2509, 0.2513], [0.5000, 0.2509, 0.7487], [0.0000, 0.5000, 0.8305], [0.5000, 0.5000, 0.0000], [0.5000, 0.0000, 0.5000], [0.5000, 0.7491, 0.7487], [0.0000, 0.0000, 0.3350], [0.5000, 0.7491, 0.2513], [0.0000, 0.0000, 0.6650], [0.0000, 0.5000, 0.5000], [0.0000, 0.0000, 0.0000]], "m_tot_mub_per_atom": 1.195, "e_form_ev_per_atom": -0.120}

# 8
{"formula": "DyTm6Co2", "functional": "GGA-PBE", "state": "relaxed", "lattice_angstrom": [[1.1372, 6.5088, -5.1629], [-3.7228, -6.4372, -3.8750], [-4.9966, 2.2792, 6.3366]], "species": ["Tm", "Tm", "Tm", "Tm", "Tm", "Tm", "Tm", "Tm", "Tm", "Tm", "Tm", "Tm", "Co", "Co", "Co", "Co", "Dy", "Dy"], "frac_coords": [[0.6855, 0.3669, 0.6814], [0.4718, 0.2861, 0.1858], [0.7846, 0.7577, 0.5422], [0.6855, 0.0041, 0.3186], [0.5282, 0.7139, 0.8142], [0.2154, 0.7577, 0.9731], [0.1003, 0.2861, 0.8142], [0.8997, 0.7139, 0.1858], [0.3145, 0.9959, 0.6814], [0.2154, 0.2423, 0.4578], [0.7846, 0.2423, 0.0269], [0.3145, 0.6331, 0.3186], [0.5000, 0.6136, 0.1136], [0.3112, 0.0000, 0.3112], [0.6888, 0.0000, 0.6888], [0.5000, 0.3864, 0.8864], [0.0000, 0.0000, 0.0000], [0.0000, 0.5000, 0.5000]], "m_tot_mub_per_atom": 0.000, "e_form_ev_per_atom": -0.088}

# 9
{"formula": "Dy2TmCo", "functional": "GGA-PBE", "state": "relaxed", "lattice_angstrom": [[6.1681, 0.0000, 0.0000], [0.0000, 6.9201, 0.0000], [0.0000, 0.0000, 9.3954]], "species": ["Tm", "Tm", "Tm", "Tm", "Dy", "Dy", "Dy", "Dy", "Dy", "Dy", "Dy", "Dy", "Co", "Co", "Co", "Co"], "frac_coords": [[0.6437, 0.5429, 0.2500], [0.3563, 0.4571, 0.7500], [0.8563, 0.0429, 0.2500], [0.1437, 0.9571, 0.7500], [0.3230, 0.1765, 0.4323], [0.1770, 0.6765, 0.4323], [0.6770, 0.8235, 0.5677], [0.8230, 0.3235, 0.9323], [0.6770, 0.8235, 0.9323], [0.8230, 0.3235, 0.5677], [0.3230, 0.1765, 0.0677], [0.1770, 0.6765, 0.0677], [0.0456, 0.3870, 0.2500], [0.9544, 0.6130, 0.7500], [0.5456, 0.1130, 0.7500], [0.4544, 0.8870, 0.2500]], "de_polymorph_ev_per_fu": 0.00, "m_tot_mub_per_atom": 0.000, "e_form_ev_per_atom": -0.173}

# 10
{"formula": "DyTmCo", "functional": "GGA-PBE", "state": "relaxed", "lattice_angstrom": [[3.8296, 0.0000, 0.0000], [-1.9148, 3.3165, 0.0000], [0.0000, 0.0000, 6.1450]], "species": ["Co", "Dy", "Tm"], "frac_coords": [[0.6667, 0.3333, 0.3349], [0.0000, 0.0000, 0.0996], [0.3333, 0.6667, 0.5655]], "de_polymorph_ev_per_fu": 0.25, "m_tot_mub_per_atom": 0.000, "e_form_ev_per_atom": -0.061}

# 11
{"formula": "DyTmCo", "functional": "GGA-PBE", "state": "relaxed", "lattice_angstrom": [[-2.9546, -0.3937, 1.5031], [-0.5497, -6.1001, -2.6716], [4.4757, -0.7191, 4.9099]], "species": ["Tm", "Tm", "Dy", "Dy", "Co", "Co"], "frac_coords": [[0.5665, 0.1153, 0.9001], [0.3112, 0.9886, 0.3887], [0.5680, 0.6170, 0.9024], [0.3100, 0.4869, 0.3864], [0.9384, 0.8058, 0.6432], [0.9394, 0.2981, 0.6456]], "de_polymorph_ev_per_fu": 0.01, "m_tot_mub_per_atom": 0.218, "e_form_ev_per_atom": -0.141}

# 12
{"formula": "DyTm2Co2", "functional": "GGA-PBE", "state": "relaxed", "lattice_angstrom": [[-2.4064, 6.3282, -2.1830], [1.4210, -1.7840, -6.7380], [-7.6030, -3.1560, -0.7678]], "species": ["Tm", "Tm", "Tm", "Tm", "Tm", "Tm", "Tm", "Tm", "Co", "Co", "Co", "Co", "Co", "Co", "Co", "Co", "Dy", "Dy", "Dy", "Dy"], "frac_coords": [[0.6713, 0.8284, 0.0000], [0.6716, 0.8287, 0.5000], [0.3287, 0.1716, 0.0000], [0.1716, 0.6713, 0.0000], [0.8287, 0.3284, 0.5000], [0.8284, 0.3287, 0.0000], [0.1713, 0.6716, 0.5000], [0.3284, 0.1713, 0.5000], [0.3881, 0.8881, 0.7500], [0.1119, 0.3881, 0.2500], [0.3881, 0.8881, 0.2500], [0.8881, 0.6119, 0.2500], [0.8881, 0.6119, 0.7500], [0.6119, 0.1119, 0.2500], [0.6119, 0.1119, 0.7500], [0.1119, 0.3881, 0.7500], [0.0000, 0.0000, 0.7502], [0.0000, 0.0000, 0.2498], [0.5000, 0.5000, 0.2502], [0.5000, 0.5000, 0.7498]], "de_polymorph_ev_per_fu": 0.05, "m_tot_mub_per_atom": 0.000, "e_form_ev_per_atom": -0.188}

# 13
{"formula": "Dy2TmCo9", "functional": "GGA-PBE", "state": "relaxed", "lattice_angstrom": [[-1.5719, -0.2994, 4.6889], [2.8166, -2.2172, 3.4201], [3.9964, 6.2624, 4.3571]], "species": ["Co", "Co", "Co", "Co", "Co", "Co", "Co", "Co", "Co", "Dy", "Dy", "Tm"], "frac_coords": [[0.5820, 0.5820, 0.7574], [0.0786, 0.5820, 0.7574], [0.3346, 0.3346, 0.9961], [0.6654, 0.6654, 0.0039], [0.5000, 0.5000, 0.5000], [0.9214, 0.4180, 0.2426], [0.4180, 0.9214, 0.2426], [0.4180, 0.4180, 0.2426], [0.5820, 0.0786, 0.7574], [0.1395, 0.1395, 0.5815], [0.8605, 0.8605, 0.4185], [0.0000, 0.0000, 0.0000]], "m_tot_mub_per_atom": 0.886, "e_form_ev_per_atom": -0.187}

# 14
{"formula": "Dy6TmCo2", "functional": "GGA-PBE", "state": "relaxed", "lattice_angstrom": [[7.8239, 0.6714, -3.2615], [-4.2947, 7.0488, -2.0425], [0.0136, -0.6714, 8.4765]], "species": ["Dy", "Dy", "Dy", "Dy", "Dy", "Dy", "Dy", "Dy", "Dy", "Dy", "Dy", "Dy", "Tm", "Tm", "Co", "Co", "Co", "Co"], "frac_coords": [[0.2116, 0.9691, 0.7575], [0.2116, 0.4541, 0.2425], [0.8956, 0.1839, 0.7117], [0.4722, 0.1839, 0.2883], [0.5278, 0.8161, 0.7117], [0.6824, 0.6803, 0.3627], [0.7884, 0.5459, 0.7575], [0.3176, 0.6803, 0.9979], [0.1044, 0.8161, 0.2883], [0.7884, 0.0309, 0.2425], [0.6824, 0.3197, 0.0021], [0.3176, 0.3197, 0.6373], [0.0000, 0.5000, 0.5000], [0.0000, 0.0000, 0.0000], [0.5000, 0.1147, 0.6147], [0.2872, 0.2872, 0.0000], [0.5000, 0.8853, 0.3853], [0.7128, 0.7128, 0.0000]], "m_tot_mub_per_atom": 0.000, "e_form_ev_per_atom": -0.075}

# 15
{"formula": "DyTm3Co8", "functional": "GGA-PBE", "state": "relaxed", "lattice_angstrom": [[-2.0420, 3.4771, -3.0095], [-3.8247, -1.2281, -3.0299], [-7.2952, 2.7469, 3.9175]], "species": ["Co", "Co", "Co", "Co", "Co", "Co", "Co", "Co", "Tm", "Tm", "Tm", "Dy"], "frac_coords": [[0.9387, 0.4376, 0.1860], [0.4376, 0.9387, 0.1860], [0.4376, 0.4376, 0.1860], [0.4358, 0.9377, 0.6889], [0.9377, 0.9377, 0.6889], [0.1874, 0.1874, 0.4379], [0.6875, 0.6875, 0.9374], [0.9377, 0.4358, 0.6889], [0.0002, 0.0002, 0.9995], [0.4998, 0.4998, 0.5005], [0.3750, 0.3750, 0.8749], [0.8750, 0.8750, 0.3750]], "m_tot_mub_per_atom": 0.626, "e_form_ev_per_atom": -0.248}

# 16
{"formula": "DyTmCo", "functional": "GGA-PBE", "state": "relaxed", "lattice_angstrom": [[-1.3451, 2.7633, 2.4867], [-0.9782, -4.2080, 4.1469], [6.4015, 3.1996, -0.0947]], "species": ["Tm", "Tm", "Dy", "Dy", "Co", "Co"], "frac_coords": [[0.0000, 0.4940, 0.2522], [0.0000, 0.5060, 0.7478], [0.5001, 0.0027, 0.2493], [0.4999, 0.9973, 0.7507], [0.0000, 0.0000, 0.0000], [0.5000, 0.5000, 0.5000]], "de_polymorph_ev_per_fu": 0.12, "m_tot_mub_per_atom": 0.000, "e_form_ev_per_atom": -0.103}

# 17
{"formula": "Dy3Tm4Co4", "functional": "GGA-PBE", "state": "relaxed", "lattice_angstrom": [[-0.9579, -2.3941, 2.5048], [0.0730, -6.2778, -5.9724], [7.8570, 2.9682, 3.2622]], "species": ["Co", "Co", "Co", "Co", "Tm", "Tm", "Tm", "Tm", "Dy", "Dy", "Dy"], "frac_coords": [[0.5000, 0.2134, 0.0000], [0.5000, 0.7866, 0.0000], [0.7497, 0.2497, 0.4995], [0.2503, 0.7503, 0.5005], [0.3337, 0.1481, 0.6675], [0.3337, 0.5194, 0.6675], [0.6663, 0.8519, 0.3325], [0.6663, 0.4806, 0.3325], [0.1038, 0.1038, 0.2076], [0.0000, 0.5000, 0.0000], [0.8962, 0.8962, 0.7924]], "m_tot_mub_per_atom": 0.000, "e_form_ev_per_atom": -0.130}

# 18
{"formula": "Dy2Tm5Co2", "functional": "GGA-PBE", "state": "relaxed", "lattice_angstrom": [[-1.8537, -0.6846, -6.6663], [4.9367, -4.7409, -0.8859], [-7.1876, -7.3209, -0.8756]], "species": ["Co", "Co", "Co", "Co", "Dy", "Dy", "Dy", "Dy", "Tm", "Tm", "Tm", "Tm", "Tm", "Tm", "Tm", "Tm", "Tm", "Tm"], "frac_coords": [[0.1144, 0.3889, 0.0000], [0.8856, 0.6111, 0.0000], [0.6144, 0.1111, 0.0000], [0.3856, 0.8889, 0.0000], [0.7318, 0.5000, 0.5363], [0.7682, 0.0000, 0.4637], [0.2682, 0.5000, 0.4637], [0.2318, 0.0000, 0.5363], [0.7865, 0.8225, 0.7883], [0.0000, 0.0000, 0.0000], [0.4252, 0.1775, 0.7883], [0.9252, 0.3225, 0.7883], [0.7135, 0.3225, 0.2117], [0.2135, 0.1775, 0.2117], [0.5000, 0.5000, 0.0000], [0.0748, 0.6775, 0.2117], [0.2865, 0.6775, 0.7883], [0.5748, 0.8225, 0.2117]], "m_tot_mub_per_atom": 0.000, "e_form_ev_per_atom": -0.093}

# 19
{"formula": "Dy3TmCo", "functional": "GGA-PBE", "state": "relaxed", "lattice_angstrom": [[-1.5268, 3.4831, -3.6268], [-4.3808, 0.9394, 2.7464], [2.4686, 3.8213, 2.6307]], "species": ["Tm", "Dy", "Dy", "Dy", "Co"], "frac_coords": [[0.5000, 0.5000, 0.5000], [0.5000, 0.0000, 0.0000], [0.0000, 0.5000, 0.0000], [0.0000, 0.0000, 0.5000], [0.0000, 0.0000, 0.0000]], "de_polymorph_ev_per_fu": 0.64, "m_tot_mub_per_atom": 0.000, "e_form_ev_per_atom": 0.016}

# 20
{"formula": "DyTm2Co9", "functional": "GGA-PBE", "state": "relaxed", "lattice_angstrom": [[4.9604, 0.0000, 0.0000], [2.4802, 4.2959, 0.0000], [2.4802, 1.4320, 8.0535]], "species": ["Co", "Co", "Co", "Co", "Co", "Co", "Co", "Co", "Co", "Tm", "Tm", "Dy"], "frac_coords": [[0.0779, 0.5842, 0.7538], [0.5842, 0.0779, 0.7538], [0.4158, 0.9221, 0.2462], [0.4158, 0.4158, 0.2462], [0.5842, 0.5842, 0.7538], [0.5000, 0.5000, 0.5000], [0.3351, 0.3351, 0.9946], [0.9221, 0.4158, 0.2462], [0.6649, 0.6649, 0.0054], [0.8600, 0.8600, 0.4201], [0.1400, 0.1400, 0.5799], [0.0000, 0.0000, 0.0000]], "m_tot_mub_per_atom": 0.904, "e_form_ev_per_atom": -0.212}